This record from Alexandria describes TiP2W after structural relaxation. The functional is PBE-GGA.

Computed properties:
DFT formation energy	-0.492	eV/atom
ΔE to the lowest computed polymorph	329	meV/atom
DOS at the Fermi energy	1.7	states/eV per cell
mass density	8721	kg/m³
symmetry	Fm-3m (225)

Cell lengths 4.2922, 4.2922, 4.2922 Å; angles 60.00, 60.00, 60.00 degrees
Last column: nearest neighbours and their distance in Å.
Fractional coordinates of all 4 atoms:
Ti: 0.0000 0.0000 0.0000  8 P 2.63
P: 0.2500 0.2500 0.2500  4 W 2.63, 4 Ti 2.63
P: 0.7500 0.7500 0.7500  4 W 2.63, 4 Ti 2.63
W: 0.5000 0.5000 0.5000  8 P 2.63